1.
Computed, not measured: ThTc3B3 after structural relaxation at the PBE level of DFT.

CIF file:
```
data_ThTc3B3
_chemical_formula_sum 'Th2 Tc6 B6'
_cell_length_a 8.2563
_cell_length_b 8.2563
_cell_length_c 3.1855
_cell_angle_alpha 90.00
_cell_angle_beta 90.00
_cell_angle_gamma 120.00
_space_group_name_H-M_alt 'P 63/m'
_space_group_IT_number 176
_space_group_name_Hall '-P 6c'
loop_
_atom_site_label
_atom_site_fract_x
_atom_site_fract_y
_atom_site_fract_z
Th1 0.3333 0.6667 0.2500
Tc1 0.0711 0.7594 0.7500
B1 0.0350 0.4629 0.7500
```



2.
Computed, not measured: Sr3SmTm3Te8 after structural relaxation at the PBE level of DFT.

CIF file:
```
data_Sr3SmTm3Te8
_chemical_formula_sum 'Sr9 Sm3 Tm9 Te24'
_cell_length_a 8.8442
_cell_length_b 8.8442
_cell_length_c 22.7298
_cell_angle_alpha 90.00
_cell_angle_beta 90.00
_cell_angle_gamma 120.00
_space_group_name_H-M_alt 'R -3 m'
_space_group_IT_number 166
_space_group_name_Hall '-R 3 2"'
loop_
_atom_site_label
_atom_site_fract_x
_atom_site_fract_y
_atom_site_fract_z
Sr1 0.0000 0.5000 0.0000
Sm1 0.0000 0.0000 0.5000
Tm1 0.0000 0.5000 0.5000
Te1 0.0000 0.0000 0.2423
Te2 0.0127 0.5063 0.7558
```

Summary:
uncorrected formation energy: -1.49 eV per atom



3.
Computed, not measured: SnOsPd2 after structural relaxation at the PBE level of DFT.

CIF file:
```
data_SnOsPd2
_chemical_formula_sum 'Sn4 Os4 Pd8'
_cell_length_a 3.876
_cell_length_b 3.876
_cell_length_c 18.954
_cell_angle_alpha 90.00
_cell_angle_beta 90.00
_cell_angle_gamma 90.00
_space_group_name_H-M_alt 'I -4 2 d'
_space_group_IT_number 122
_space_group_name_Hall 'I -4 2bw'
loop_
_atom_site_label
_atom_site_fract_x
_atom_site_fract_y
_atom_site_fract_z
Sn1 0.000 0.000 0.000
Os1 0.000 0.000 0.500
Pd1 0.240 0.250 0.625
```



4.
Computed, not measured: BeGe2Pt after structural relaxation at the PBE level of DFT.

CIF file:
```
data_BeGe2Pt
_chemical_formula_sum 'Be4 Ge8 Pt4'
_cell_length_a 5.259
_cell_length_b 5.259
_cell_length_c 11.534
_cell_angle_alpha 90.00
_cell_angle_beta 90.00
_cell_angle_gamma 90.00
_space_group_name_H-M_alt 'I -4 2 d'
_space_group_IT_number 122
_space_group_name_Hall 'I -4 2bw'
loop_
_atom_site_label
_atom_site_fract_x
_atom_site_fract_y
_atom_site_fract_z
Be1 0.000 0.000 0.000
Ge1 0.218 0.250 0.125
Pt1 0.000 0.000 0.500
```



5.
Computed, not measured: NaSrTb2S4 after structural relaxation at the PBE level of DFT.

CIF file:
```
data_NaSrTb2S4
_chemical_formula_sum 'Na1 Sr1 Tb2 S4'
_cell_length_a 6.921
_cell_length_b 4.016
_cell_length_c 7.177
_cell_angle_alpha 90.00
_cell_angle_beta 108.81
_cell_angle_gamma 90.00
_space_group_name_H-M_alt 'P 1 2/m 1'
_space_group_IT_number 10
loop_
_space_group_symop_operation_xyz
'x,y,z'
'-x,-y,-z'
'-x,y,-z'
'x,-y,z'
loop_
_atom_site_label
_atom_site_fract_x
_atom_site_fract_y
_atom_site_fract_z
Na1 0.000 0.000 0.000
Sr1 0.500 0.500 0.000
Tb1 0.000 0.500 0.500
Tb2 0.500 0.000 0.500
S1 0.241 0.000 0.731
S2 0.255 0.500 0.271
```

Summary:
uncorrected formation energy: -1.95 eV per atom



6.
Computed, not measured: ErTm3Sn after structural relaxation at the PBE level of DFT.

CIF file:
```
data_ErTm3Sn
_chemical_formula_sum 'Er4 Tm12 Sn4'
_cell_length_a 11.299
_cell_length_b 8.415
_cell_length_c 6.630
_cell_angle_alpha 90.00
_cell_angle_beta 90.00
_cell_angle_gamma 90.00
_space_group_name_H-M_alt 'I m a 2'
_space_group_IT_number 46
loop_
_space_group_symop_operation_xyz
'x,y,z'
'-x,-y,z'
'-x+1/2,y,z'
'x+1/2,-y,z'
'x+1/2,y+1/2,z+1/2'
'-x+1/2,-y+1/2,z+1/2'
'-x,y+1/2,z+1/2'
'x,-y+1/2,z+1/2'
loop_
_atom_site_label
_atom_site_fract_x
_atom_site_fract_y
_atom_site_fract_z
Er1 0.250 0.245 0.000
Tm1 0.032 0.719 0.489
Tm2 0.250 0.573 0.751
Sn1 0.250 0.565 0.238
```



Number 1: final energy -8.5054 eV/atom. Number 2: final energy -4.7072 eV/atom. Number 3: final energy -5.9823 eV/atom. Number 4: final energy -4.5199 eV/atom. Number 5: final energy -5.5473 eV/atom. Number 6: final energy -4.2555 eV/atom.